LaCo2Se at its PBEsol-relaxed geometry. Source: the Alexandria database, functional SCAN.

- raw formation energy (eV per atom) = 0.13
- E (eV per atom) = -24.31
- space-group type = F-43m (216)

Unit cell a=4.6526 b=4.6526 c=4.6526 alpha=60.00 beta=60.00 gamma=60.00
With the nearest neighbours (Å) after each atom.
Fractional positions:
La: 0.5000 0.5000 0.5000  4 Se 2.85, 4 Co 2.85
Co: 0.7500 0.7500 0.7500  4 La 2.85, 4 Co 2.85
Se: 0.2500 0.2500 0.2500  4 La 2.85, 4 Co 2.85
Co: 0.0000 0.0000 0.0000  4 Se 2.85, 4 Co 2.85